1.
This record from Alexandria via LeMat-Bulk describes NbVNi2Se after structural relaxation. The functional is PBE-GGA.

Cell: 4.583 4.667 4.583 Å, 90.00 90.00 90.00°
Atoms (fractional coordinates):
V1 0.000 0.500 0.000
Se1 0.500 0.500 0.500
Nb1 0.000 0.000 0.000
Ni1 0.000 0.000 0.500
Ni2 0.500 0.000 0.000

Computed properties:
Spin magnetization (μB per cell): 1.9
Total energy (eV per atom): -5.514
ΔE_f (raw) (kJ per mole of atoms): 129
V (A^3/atom): 19.60

2.
This record from Alexandria via LeMat-Bulk describes NbNiWSe2 after structural relaxation. The functional is PBE-GGA.

Cell: 4.537 4.620 4.537 Å, 90.00 90.00 90.00°
Atoms (fractional coordinates):
W1 0.500 0.500 0.500
Ni1 0.000 0.000 0.000
Se1 0.000 0.000 0.500
Se2 0.500 0.000 0.000
Nb1 0.000 0.500 0.000

Computed properties:
Spin magnetization (μB per cell): 1.6
Total energy (eV per atom): -6.020
ΔE_f (raw) (kJ per mole of atoms): 109
V (A^3/atom): 19.02

3.
This record from Alexandria via LeMat-Bulk describes Nb2ZnNiSe after structural relaxation. The functional is PBE-GGA.

Cell: 4.687 4.383 4.687 Å, 90.00 90.00 90.00°
Atoms (fractional coordinates):
Se1 0.500 0.500 0.500
Zn1 0.000 0.500 0.000
Nb1 0.500 0.000 0.000
Nb2 0.000 0.000 0.500
Ni1 0.000 0.000 0.000

Computed properties:
Spin magnetization (μB per cell): 1.3
Total energy (eV per atom): -5.587
ΔE_f (raw) (kJ per mole of atoms): 53
V (A^3/atom): 19.26

4.
This record from Alexandria via LeMat-Bulk describes NbSi2Ni2 after structural relaxation. The functional is PBE-GGA.

Cell: 6.917 6.917 2.655 Å, 90.00 90.00 90.00°
Atoms (fractional coordinates):
Ni1 0.644 0.856 0.500
Ni2 0.356 0.144 0.500
Ni3 0.856 0.356 0.500
Ni4 0.144 0.644 0.500
Si1 0.853 0.647 0.000
Si2 0.647 0.147 0.000
Si3 0.147 0.353 0.000
Si4 0.353 0.853 0.000
Nb1 0.500 0.500 0.000
Nb2 0.000 0.000 0.000

Computed properties:
Spin magnetization (μB per cell): 0.0
Total energy (eV per atom): -6.977
ΔE_f (raw) (kJ per mole of atoms): -46
V (A^3/atom): 12.70

5.
This record from Alexandria via LeMat-Bulk describes Nb6Si7Ni16 after structural relaxation. The functional is PBE-GGA.

Cell: 7.971 7.971 7.971 Å, 60.00 60.00 60.00°
Atoms (fractional coordinates):
Ni1 0.168 0.168 0.168
Ni2 0.832 0.832 0.832
Ni3 0.832 0.832 0.504
Ni4 0.168 0.496 0.168
Ni5 0.150 0.617 0.617
Ni6 0.383 0.383 0.850
Ni7 0.832 0.504 0.832
Ni8 0.504 0.832 0.832
Ni9 0.617 0.150 0.617
Ni10 0.383 0.850 0.383
Ni11 0.383 0.383 0.383
Ni12 0.617 0.617 0.617
Ni13 0.168 0.168 0.496
Ni14 0.617 0.617 0.150
Ni15 0.496 0.168 0.168
Ni16 0.850 0.383 0.383
Si1 0.000 0.500 0.000
Si2 0.500 0.000 0.000
Si3 0.000 0.000 0.500
Si4 0.500 0.000 0.500
Si5 0.500 0.500 0.500
Si6 0.500 0.500 0.000
Si7 0.000 0.500 0.500
Nb1 0.204 0.796 0.796
Nb2 0.796 0.204 0.204
Nb3 0.204 0.204 0.796
Nb4 0.796 0.204 0.796
Nb5 0.204 0.796 0.204
Nb6 0.796 0.796 0.204

Computed properties:
Spin magnetization (μB per cell): 0.0
Total energy (eV per atom): -7.182
ΔE_f (raw) (kJ per mole of atoms): -58
V (A^3/atom): 12.35

6.
This record from Alexandria via LeMat-Bulk describes Nb2SiNi after structural relaxation. The functional is PBE-GGA.

Cell: 3.849 3.839 5.478 Å, 69.47 69.43 59.91°
Atoms (fractional coordinates):
Nb1 0.909 0.669 0.512
Nb2 0.691 0.457 0.162
Si1 0.122 0.885 0.872
Ni1 0.489 0.251 0.771

Computed properties:
Spin magnetization (μB per cell): 0.0
Total energy (eV per atom): -7.973
ΔE_f (raw) (kJ per mole of atoms): -13
V (A^3/atom): 16.01

7.
This record from Alexandria via LeMat-Bulk describes Nb2Si6Ni21 after structural relaxation. The functional is PBE-GGA.

Cell: 7.893 7.893 7.893 Å, 60.00 60.00 60.00°
Atoms (fractional coordinates):
Ni1 0.000 0.648 0.352
Ni2 0.621 0.621 0.621
Ni3 0.379 0.379 0.379
Ni4 0.138 0.621 0.621
Ni5 0.000 0.000 0.352
Ni6 0.862 0.379 0.379
Ni7 0.648 0.352 0.000
Ni8 0.379 0.862 0.379
Ni9 0.352 0.648 0.000
Ni10 0.621 0.621 0.138
Ni11 0.648 0.000 0.352
Ni12 0.352 0.000 0.648
Ni13 0.379 0.379 0.862
Ni14 0.648 0.000 0.000
Ni15 0.000 0.000 0.000
Ni16 0.000 0.648 0.000
Ni17 0.000 0.352 0.648
Ni18 0.352 0.000 0.000
Ni19 0.000 0.352 0.000
Ni20 0.621 0.138 0.621
Ni21 0.000 0.000 0.648
Si1 0.264 0.736 0.264
Si2 0.736 0.264 0.264
Si3 0.264 0.264 0.736
Si4 0.736 0.736 0.264
Si5 0.264 0.736 0.736
Si6 0.736 0.264 0.736
Nb1 0.750 0.750 0.750
Nb2 0.250 0.250 0.250

Computed properties:
Spin magnetization (μB per cell): 0.0
Total energy (eV per atom): -6.324
ΔE_f (raw) (kJ per mole of atoms): -31
V (A^3/atom): 11.99

8.
This record from Alexandria via LeMat-Bulk describes Nb3SiNi2 after structural relaxation. The functional is PBE-GGA.

Cell: 7.939 7.939 7.939 Å, 60.00 60.00 60.00°
Atoms (fractional coordinates):
Nb1 0.548 0.952 0.952
Nb2 0.952 0.548 0.548
Nb3 0.952 0.952 0.548
Nb4 0.548 0.952 0.548
Nb5 0.298 0.702 0.702
Nb6 0.548 0.548 0.952
Nb7 0.702 0.298 0.298
Nb8 0.952 0.548 0.952
Nb9 0.298 0.702 0.298
Nb10 0.702 0.702 0.298
Nb11 0.298 0.298 0.702
Nb12 0.702 0.298 0.702
Ni1 0.247 0.918 0.918
Ni2 0.332 0.003 0.332
Ni3 0.332 0.332 0.003
Ni4 0.332 0.332 0.332
Ni5 0.003 0.332 0.332
Ni6 0.918 0.918 0.918
Ni7 0.918 0.247 0.918
Ni8 0.918 0.918 0.247
Si1 0.125 0.125 0.625
Si2 0.625 0.125 0.125
Si3 0.125 0.125 0.125
Si4 0.125 0.625 0.125

Computed properties:
Spin magnetization (μB per cell): 0.0
Total energy (eV per atom): -8.277
ΔE_f (raw) (kJ per mole of atoms): -40
V (A^3/atom): 14.74